# 1
Density functional theory data (PBE) for an optimized crystal structure of LiHgP.

* ΔE_f: 0.076 eV/atom
* N(E_F): 0.482 states/eV/atom

a = 3.0581 Å, b = 3.0581 Å, c = 6.7751 Å
α = 90.00°, β = 90.00°, γ = 120.00°
Space group P3m1 (No. 156)
One atom of each set of equivalent atoms:
Li  0.0000  0.0000  0.0000 x1
Hg  0.3333  0.6667  0.6691 x1
P  0.6667  0.3333  0.2795 x1

# 2
Density functional theory data (PBE) for an optimized crystal structure of LiHg2P.

* ΔE_f: -0.016 eV/atom
* N(E_F): 0.210 states/eV/atom

a = 2.8277 Å, b = 4.2256 Å, c = 7.6288 Å
α = 90.00°, β = 90.00°, γ = 90.00°
Space group Pmm2 (No. 25)
One atom of each set of equivalent atoms:
Li  0.0000  0.0000  0.0000 x1
Hg  0.0000  0.0000  0.3814 x1
Hg  0.5000  0.5000  0.6603 x1
P  0.5000  0.5000  0.0067 x1

# 3
Density functional theory data (PBE) for an optimized crystal structure of Li2Hg4P.

* ΔE_f: 0.027 eV/atom
* N(E_F): 0.257 states/eV/atom

a = 5.2549 Å, b = 5.2549 Å, c = 13.9148 Å
α = 90.00°, β = 90.00°, γ = 90.00°
Space group I4/mmm (No. 139)
One atom of each set of equivalent atoms:
Li  0.0000  0.0000  0.1049 x4
Hg  0.0000  0.0000  0.2916 x4
Hg  0.0000  0.5000  0.0000 x4
P  0.0000  0.0000  0.5000 x2

# 4
Density functional theory data (PBE) for an optimized crystal structure of LiHg2P.

* ΔE_f: 0.028 eV/atom
* N(E_F): 0.383 states/eV/atom

a = 2.9383 Å, b = 2.9383 Å, c = 9.4760 Å
α = 90.00°, β = 90.00°, γ = 90.00°
Space group P4mm (No. 99)
One atom of each set of equivalent atoms:
Li  0.0000  0.0000  0.0000 x1
Hg  0.0000  0.0000  0.4518 x1
Hg  0.5000  0.5000  0.7700 x1
P  0.5000  0.5000  0.1657 x1

# 5
Density functional theory data (PBE) for an optimized crystal structure of LiHg2P.

* ΔE_f: 0.116 eV/atom
* N(E_F): 0.409 states/eV/atom

a = 3.0279 Å, b = 3.0279 Å, c = 8.4938 Å
α = 90.00°, β = 90.00°, γ = 90.00°
Space group P4/mmm (No. 123)
One atom of each set of equivalent atoms:
Li  0.0000  0.0000  0.0000 x1
Hg  0.5000  0.5000  0.2302 x2
P  0.0000  0.0000  0.5000 x1

# 6
Density functional theory data (PBE) for an optimized crystal structure of LiHgP2.

* ΔE_f: 0.209 eV/atom
* N(E_F): 0.449 states/eV/atom

a = 5.4975 Å, b = 6.1951 Å, c = 4.0720 Å
α = 90.00°, β = 90.00°, γ = 90.00°
Space group Cmmm (No. 65)
One atom of each set of equivalent atoms:
Li  0.0000  0.0000  0.0000 x2
Hg  0.0000  0.5000  0.0000 x2
P  0.2500  0.2500  0.5000 x4

# 7
Density functional theory data (PBE) for an optimized crystal structure of LiHgP.

* ΔE_f: -0.038 eV/atom
* N(E_F): 0.111 states/eV/atom

a = 2.9010 Å, b = 2.9010 Å, c = 12.9405 Å
α = 90.00°, β = 90.00°, γ = 90.00°
Space group I4mm (No. 107)
One atom of each set of equivalent atoms:
Li  0.0000  0.0000  0.0000 x2
Hg  0.0000  0.0000  0.3278 x2
P  0.0000  0.0000  0.6267 x2

# 8
Density functional theory data (PBE) for an optimized crystal structure of Li2HgPPb.

* ΔE_f: -0.190 eV/atom
* N(E_F): 0.440 states/eV/atom

a = 4.6567 Å, b = 4.6567 Å, c = 5.9078 Å
α = 90.00°, β = 90.00°, γ = 90.00°
Space group P4/mmm (No. 123)
One atom of each set of equivalent atoms:
Li  0.0000  0.5000  0.0000 x2
Hg  0.0000  0.0000  0.5000 x1
P  0.5000  0.5000  0.0000 x1
Pb  0.5000  0.5000  0.5000 x1

# 9
Density functional theory data (PBE) for an optimized crystal structure of Li2HgPPd.

* ΔE_f: -0.296 eV/atom
* N(E_F): 0.709 states/eV/atom

a = 4.7241 Å, b = 4.7241 Å, c = 4.4990 Å
α = 90.00°, β = 90.00°, γ = 90.00°
Space group P4/mmm (No. 123)
One atom of each set of equivalent atoms:
Li  0.0000  0.5000  0.0000 x2
Hg  0.0000  0.0000  0.5000 x1
P  0.5000  0.5000  0.0000 x1
Pd  0.5000  0.5000  0.5000 x1

# 10
Density functional theory data (PBE) for an optimized crystal structure of Li2HgP2Pd5.

* ΔE_f: -0.467 eV/atom
* N(E_F): 0.510 states/eV/atom

a = 9.7597 Å, b = 9.7597 Å, c = 3.4185 Å
α = 90.00°, β = 90.00°, γ = 90.00°
Space group P4/mbm (No. 127)
One atom of each set of equivalent atoms:
Li  0.1717  0.3283  0.0000 x4
Hg  0.0000  0.0000  0.0000 x2
P  0.1289  0.6289  0.0000 x4
Pd  0.0000  0.5000  0.5000 x2
Pd  0.0735  0.7858  0.5000 x8

# 11
Density functional theory data (PBE) for an optimized crystal structure of LiPmHgP.

* ΔE_f: -0.546 eV/atom
* N(E_F): 0.536 states/eV/atom

a = 7.0224 Å, b = 7.0224 Å, c = 7.0224 Å
α = 90.00°, β = 90.00°, γ = 90.00°
Space group F-43m (No. 216)
One atom of each set of equivalent atoms:
Li  0.0000  0.0000  0.0000 x4
Pm  0.0000  0.0000  0.5000 x4
Hg  0.2500  0.2500  0.2500 x4
P  0.2500  0.2500  0.7500 x4

# 12
Density functional theory data (PBE) for an optimized crystal structure of LiHgP2Pt.

* ΔE_f: 1.043 eV/atom
* N(E_F): 0.661 states/eV/atom

a = 4.8802 Å, b = 4.8802 Å, c = 4.4677 Å
α = 90.00°, β = 90.00°, γ = 90.00°
Space group P4/mmm (No. 123)
One atom of each set of equivalent atoms:
Li  0.0000  0.0000  0.0000 x1
Hg  0.0000  0.0000  0.5000 x1
P  0.0000  0.5000  0.5000 x2
Pt  0.5000  0.5000  0.0000 x1

# 13
Density functional theory data (PBE) for an optimized crystal structure of Rb2LiHgP.

* ΔE_f: -0.215 eV/atom
* N(E_F): 0.251 states/eV/atom

a = 6.6719 Å, b = 6.6719 Å, c = 4.7444 Å
α = 90.00°, β = 90.00°, γ = 90.00°
Space group P4/mmm (No. 123)
One atom of each set of equivalent atoms:
Rb  0.0000  0.5000  0.0000 x2
Li  0.0000  0.0000  0.5000 x1
Hg  0.5000  0.5000  0.5000 x1
P  0.0000  0.0000  0.0000 x1

# 14
Density functional theory data (PBE) for an optimized crystal structure of Rb2LiHgP2.

* ΔE_f: -0.238 eV/atom
* N(E_F): 0.806 states/eV/atom

a = 6.3851 Å, b = 15.7605 Å, c = 6.6120 Å
α = 90.00°, β = 90.00°, γ = 90.00°
Space group Ibam (No. 72)
One atom of each set of equivalent atoms:
Rb  0.2443  0.1713  0.0000 x8
Li  0.0000  0.0000  0.2500 x4
Hg  0.0000  0.5000  0.2500 x4
P  0.2489  0.4108  0.0000 x8

# 15
Density functional theory data (PBE) for an optimized crystal structure of LiRe2HgP.

* ΔE_f: 2.515 eV/atom
* N(E_F): 0.929 states/eV/atom

a = 5.2196 Å, b = 5.2196 Å, c = 4.9560 Å
α = 90.00°, β = 90.00°, γ = 90.00°
Space group P4/mmm (No. 123)
One atom of each set of equivalent atoms:
Li  0.0000  0.0000  0.0000 x1
Re  0.0000  0.5000  0.5000 x2
Hg  0.5000  0.5000  0.5000 x1
P  0.5000  0.5000  0.0000 x1

# 16
Density functional theory data (PBE) for an optimized crystal structure of LiHgP2S6.

* formation energy (no corrections): -0.25 eV/atom
* N(E_F): 0.201 states/eV/atom

a = 13.3846 Å, b = 11.2699 Å, c = 7.1837 Å
α = 90.00°, β = 118.26°, γ = 90.00°
Space group C2/c (No. 15)
One atom of each set of equivalent atoms:
Li  0.0000  0.2175  0.2500 x4
Hg  0.0000  0.2460  0.7500 x4
P  0.2200  0.4197  0.7190 x8
S  0.1112  0.0803  0.1333 x8
S  0.1467  0.4846  0.3723 x8
S  0.1512  0.2454  0.6529 x8

# 17
Density functional theory data (PBE) for an optimized crystal structure of Li2HgPS4.

* formation energy (no corrections): -0.52 eV/atom
* N(E_F): 0.613 states/eV/atom

a = 5.4154 Å, b = 5.7225 Å, c = 6.5437 Å
α = 69.25°, β = 69.21°, γ = 88.87°
Space group P1 (No. 1)
One atom of each set of equivalent atoms:
Li  0.0000  0.0000  0.0000 x1
Li  0.2958  0.7525  0.5207 x1
Hg  0.4362  0.4869  0.9849 x1
P  0.7766  0.2750  0.5032 x1
S  0.0602  0.1018  0.3160 x1
S  0.4602  0.9867  0.7226 x1
S  0.6823  0.5885  0.2743 x1
S  0.9209  0.3809  0.7159 x1

# 18
Density functional theory data (PBE) for an optimized crystal structure of LiHgPS2.

* formation energy (no corrections): 0.61 eV/atom
* excess energy over the best structure of this formula in the dataset: 0 meV/atom
* N(E_F): 0.801 states/eV/atom

a = 4.6173 Å, b = 4.6173 Å, c = 4.3896 Å
α = 90.00°, β = 90.00°, γ = 90.00°
Space group P4/mmm (No. 123)
One atom of each set of equivalent atoms:
Li  0.0000  0.0000  0.0000 x1
Hg  0.5000  0.5000  0.5000 x1
P  0.0000  0.0000  0.5000 x1
S  0.0000  0.5000  0.0000 x2

# 19
Density functional theory data (PBE) for an optimized crystal structure of Li2HgPSe4.

* formation energy (no corrections): -0.46 eV/atom
* N(E_F): 0.564 states/eV/atom

a = 5.9490 Å, b = 5.9490 Å, c = 11.6560 Å
α = 90.00°, β = 90.00°, γ = 90.00°
Space group I-4 (No. 82)
One atom of each set of equivalent atoms:
Li  0.0000  0.0000  0.0000 x2
Li  0.0000  0.5000  0.2500 x2
Hg  0.0000  0.0000  0.5000 x2
P  0.0000  0.5000  0.7500 x2
Se  0.2229  0.2568  0.8642 x8

# 20
Density functional theory data (PBE) for an optimized crystal structure of Sr2LiHgP.

* ΔE_f: -0.584 eV/atom
* N(E_F): 0.824 states/eV/atom

a = 5.9009 Å, b = 5.9009 Å, c = 4.7035 Å
α = 90.00°, β = 90.00°, γ = 90.00°
Space group P4/mmm (No. 123)
One atom of each set of equivalent atoms:
Sr  0.0000  0.5000  0.0000 x2
Li  0.0000  0.0000  0.5000 x1
Hg  0.5000  0.5000  0.5000 x1
P  0.0000  0.0000  0.0000 x1